! NdSm3Pb | Alexandria | PBE | optimized geometry; values from VASP
! Formation enthalpy at 0 K: -161 meV per atom
! Calculated volume: 666.6 Å³ per cell
! Energy: -4.69 eV/atom
&SYSTEM
  ibrav = 0, nat = 20, ntyp = 3
/
ATOMIC_SPECIES
Pb 207.20 Pb.upf
Sm 150.36 Sm.upf
Nd 144.24 Nd.upf
CELL_PARAMETERS angstrom
8.834 0.000 0.000
0.000 9.021 -0.996
0.000 -4.173 8.825
ATOMIC_POSITIONS crystal
Pb 0.249 0.903 0.456
Pb 0.751 0.097 0.544
Pb 0.251 0.903 0.956
Pb 0.749 0.097 0.044
Sm 0.413 0.085 0.795
Sm 0.805 0.413 0.453
Sm 0.087 0.085 0.295
Sm 0.195 0.587 0.547
Sm 0.064 0.275 0.061
Sm 0.587 0.915 0.205
Sm 0.436 0.275 0.561
Sm 0.695 0.413 0.953
Sm 0.564 0.725 0.439
Sm 0.913 0.915 0.705
Sm 0.305 0.587 0.047
Sm 0.936 0.725 0.939
Nd 0.936 0.707 0.290
Nd 0.436 0.293 0.210
Nd 0.064 0.293 0.710
Nd 0.564 0.707 0.790

! Nd3SmPb2 | Alexandria | PBE | optimized geometry; values from VASP
! Formation enthalpy at 0 K: -443 meV per atom
! Calculated volume: 195.7 Å³ per cell
! Energy: -4.85 eV/atom
! Energy above the lowest structure with this stoichiometry: 0.0 meV per atom
&SYSTEM
  ibrav = 0, nat = 6, ntyp = 3
/
ATOMIC_SPECIES
Pb 207.20 Pb.upf
Sm 150.36 Sm.upf
Nd 144.24 Nd.upf
CELL_PARAMETERS angstrom
-1.768 4.335 -0.094
-0.386 -0.259 -4.659
-8.235 -3.339 0.868
ATOMIC_POSITIONS crystal
Pb 0.500 0.000 0.717
Pb 0.000 0.500 0.283
Sm 0.500 0.500 0.000
Nd 0.000 0.500 0.652
Nd 0.500 0.000 0.348
Nd 0.000 0.000 0.000

! NdSmPb | Alexandria | PBE | optimized geometry; values from VASP
! Formation enthalpy at 0 K: -168 meV per atom
! Calculated volume: 198.6 Å³ per cell
! Energy: -4.57 eV/atom
! Energy above the lowest structure with this stoichiometry: 277.2 meV per atom
&SYSTEM
  ibrav = 0, nat = 6, ntyp = 3
/
ATOMIC_SPECIES
Nd 144.24 Nd.upf
Sm 150.36 Sm.upf
Pb 207.20 Pb.upf
CELL_PARAMETERS angstrom
-1.663 3.230 4.806
1.753 -2.254 2.122
8.520 4.039 0.234
ATOMIC_POSITIONS crystal
Nd 0.500 0.000 0.000
Nd 0.000 0.000 0.000
Sm 0.750 0.668 0.663
Sm 0.250 0.332 0.337
Pb 0.750 0.841 0.318
Pb 0.250 0.159 0.682

! Nd6Sm12Pb | Alexandria | PBE | optimized geometry; values from VASP
! Formation enthalpy at 0 K: 67 meV per atom
! Calculated volume: 661.7 Å³ per cell
! Energy: -4.61 eV/atom
&SYSTEM
  ibrav = 0, nat = 19, ntyp = 3
/
ATOMIC_SPECIES
Nd 144.24 Nd.upf
Sm 150.36 Sm.upf
Pb 207.20 Pb.upf
CELL_PARAMETERS angstrom
-3.452 -1.455 7.965
-7.492 -0.340 -4.608
2.744 -8.207 -1.609
ATOMIC_POSITIONS crystal
Nd 0.592 0.865 0.865
Nd 0.865 0.592 0.865
Nd 0.135 0.408 0.135
Nd 0.865 0.865 0.592
Nd 0.135 0.135 0.408
Nd 0.408 0.135 0.135
Sm 0.581 0.581 0.171
Sm 0.741 0.259 0.000
Sm 0.000 0.741 0.259
Sm 0.581 0.171 0.581
Sm 0.419 0.829 0.419
Sm 0.259 0.741 0.000
Sm 0.000 0.259 0.741
Sm 0.259 0.000 0.741
Sm 0.829 0.419 0.419
Sm 0.419 0.419 0.829
Sm 0.741 0.000 0.259
Sm 0.171 0.581 0.581
Pb 0.000 0.000 0.000

! NdSmPb2 | Alexandria | PBE | optimized geometry; values from VASP
! Formation enthalpy at 0 K: -555 meV per atom
! Calculated volume: 125.3 Å³ per cell
! Energy: -4.78 eV/atom
&SYSTEM
  ibrav = 0, nat = 4, ntyp = 3
/
ATOMIC_SPECIES
Pb 207.20 Pb.upf
Nd 144.24 Nd.upf
Sm 150.36 Sm.upf
CELL_PARAMETERS angstrom
-2.539 -3.649 -1.335
3.069 -2.795 1.801
-1.663 1.953 5.864
ATOMIC_POSITIONS crystal
Pb 0.179 0.500 0.898
Pb 0.986 0.000 0.510
Nd 0.714 0.000 0.968
Sm 0.452 0.500 0.441

! Nd8Sm6Pb | Alexandria | PBE | optimized geometry; values from VASP
! Formation enthalpy at 0 K: 53 meV per atom
! Calculated volume: 517.4 Å³ per cell
! Energy: -4.63 eV/atom
&SYSTEM
  ibrav = 0, nat = 15, ntyp = 3
/
ATOMIC_SPECIES
Pb 207.20 Pb.upf
Nd 144.24 Nd.upf
Sm 150.36 Sm.upf
CELL_PARAMETERS angstrom
6.709 0.000 0.000
0.000 8.172 -4.718
0.000 0.000 9.437
ATOMIC_POSITIONS crystal
Pb 0.500 0.000 0.000
Nd 0.177 0.271 0.231
Nd 0.870 0.333 0.667
Nd 0.177 0.960 0.729
Nd 0.823 0.231 0.960
Nd 0.177 0.769 0.040
Nd 0.130 0.667 0.333
Nd 0.823 0.729 0.769
Nd 0.823 0.040 0.271
Sm 0.336 0.350 0.906
Sm 0.664 0.650 0.094
Sm 0.336 0.556 0.650
Sm 0.336 0.094 0.444
Sm 0.664 0.444 0.350
Sm 0.664 0.906 0.556

! NdSmPb2 | Alexandria | PBE | optimized geometry; values from VASP
! Formation enthalpy at 0 K: -403 meV per atom
! Calculated volume: 132.1 Å³ per cell
! Energy: -4.63 eV/atom
&SYSTEM
  ibrav = 0, nat = 4, ntyp = 3
/
ATOMIC_SPECIES
Sm 150.36 Sm.upf
Pb 207.20 Pb.upf
Nd 144.24 Nd.upf
CELL_PARAMETERS angstrom
4.203 0.000 0.000
2.101 3.640 0.000
2.101 1.213 8.633
ATOMIC_POSITIONS crystal
Sm 0.000 0.000 0.000
Pb 0.749 0.749 0.753
Pb 0.251 0.251 0.247
Nd 0.500 0.500 0.500

! Nd5SmPb6 | Alexandria | PBE | optimized geometry; values from VASP
! Formation enthalpy at 0 K: -517 meV per atom
! Calculated volume: 360.4 Å³ per cell
! Energy: -4.75 eV/atom
! Energy above the lowest structure with this stoichiometry: 0.0 meV per atom
&SYSTEM
  ibrav = 0, nat = 12, ntyp = 3
/
ATOMIC_SPECIES
Nd 144.24 Nd.upf
Pb 207.20 Pb.upf
Sm 150.36 Sm.upf
CELL_PARAMETERS angstrom
0.832 4.765 1.489
3.048 -3.076 8.141
7.585 1.966 -2.098
ATOMIC_POSITIONS crystal
Nd 0.000 0.500 0.000
Nd 0.666 0.000 0.668
Nd 0.334 0.000 0.332
Nd 0.667 0.500 0.667
Nd 0.333 0.500 0.333
Pb 0.834 0.249 0.332
Pb 0.500 0.751 0.000
Pb 0.834 0.751 0.332
Pb 0.166 0.249 0.668
Pb 0.500 0.249 0.000
Pb 0.166 0.751 0.668
Sm 0.000 0.000 0.000

! NdSmPb2 | Alexandria | PBE | optimized geometry; values from VASP
! Formation enthalpy at 0 K: -501 meV per atom
! Calculated volume: 119.2 Å³ per cell
! Energy: -4.73 eV/atom
&SYSTEM
  ibrav = 0, nat = 4, ntyp = 3
/
ATOMIC_SPECIES
Pb 207.20 Pb.upf
Sm 150.36 Sm.upf
Nd 144.24 Nd.upf
CELL_PARAMETERS angstrom
-0.966 -0.067 3.471
0.626 -3.547 0.106
8.697 1.609 2.451
ATOMIC_POSITIONS crystal
Pb 0.000 0.000 0.747
Pb 0.000 0.000 0.253
Sm 0.500 0.500 0.500
Nd 0.500 0.500 0.000

! Nd7Sm12Pb | Alexandria | PBE | optimized geometry; values from VASP
! Formation enthalpy at 0 K: 154 meV per atom
! Calculated volume: 706.4 Å³ per cell
! Energy: -4.53 eV/atom
&SYSTEM
  ibrav = 0, nat = 20, ntyp = 3
/
ATOMIC_SPECIES
Sm 150.36 Sm.upf
Nd 144.24 Nd.upf
Pb 207.20 Pb.upf
CELL_PARAMETERS angstrom
8.642 1.706 -1.319
-1.755 8.633 -1.319
1.136 1.706 8.668
ATOMIC_POSITIONS crystal
Sm 0.115 0.995 0.662
Sm 0.885 0.005 0.338
Sm 0.878 0.657 0.537
Sm 0.005 0.338 0.885
Sm 0.122 0.343 0.463
Sm 0.657 0.537 0.878
Sm 0.662 0.115 0.995
Sm 0.995 0.662 0.115
Sm 0.338 0.885 0.005
Sm 0.463 0.122 0.343
Sm 0.537 0.878 0.657
Sm 0.343 0.463 0.122
Nd 0.786 0.378 0.236
Nd 0.236 0.786 0.378
Nd 0.622 0.764 0.214
Nd 0.378 0.236 0.786
Nd 0.764 0.214 0.622
Nd 0.500 0.500 0.500
Nd 0.214 0.622 0.764
Pb 0.000 0.000 0.000

! NdSm2Pb | Alexandria | PBE | optimized geometry; values from VASP
! Formation enthalpy at 0 K: -289 meV per atom
! Calculated volume: 263.0 Å³ per cell
! Energy: -4.77 eV/atom
! Energy above the lowest structure with this stoichiometry: 38.1 meV per atom
&SYSTEM
  ibrav = 0, nat = 8, ntyp = 3
/
ATOMIC_SPECIES
Sm 150.36 Sm.upf
Nd 144.24 Nd.upf
Pb 207.20 Pb.upf
CELL_PARAMETERS angstrom
-3.245 -3.098 1.479
0.161 -2.194 -4.243
8.376 -5.889 6.043
ATOMIC_POSITIONS crystal
Sm 0.250 0.940 0.879
Sm 0.750 0.437 0.874
Sm 0.250 0.563 0.126
Sm 0.750 0.060 0.121
Nd 0.250 0.307 0.614
Nd 0.750 0.693 0.386
Pb 0.750 0.833 0.665
Pb 0.250 0.167 0.335

! Nd5SmPb6 | Alexandria | PBE | optimized geometry; values from VASP
! Formation enthalpy at 0 K: -413 meV per atom
! Calculated volume: 406.1 Å³ per cell
! Energy: -4.65 eV/atom
! Energy above the lowest structure with this stoichiometry: 104.0 meV per atom
&SYSTEM
  ibrav = 0, nat = 12, ntyp = 3
/
ATOMIC_SPECIES
Pb 207.20 Pb.upf
Nd 144.24 Nd.upf
Sm 150.36 Sm.upf
CELL_PARAMETERS angstrom
7.949 0.163 0.000
2.393 7.605 0.000
1.197 3.802 6.761
ATOMIC_POSITIONS crystal
Pb 0.752 0.083 0.331
Pb 0.752 0.414 0.669
Pb 0.250 0.248 0.000
Pb 0.248 0.917 0.669
Pb 0.750 0.752 0.000
Pb 0.248 0.586 0.331
Nd 0.500 0.168 0.664
Nd 0.000 0.667 0.667
Nd 0.000 0.333 0.333
Nd 0.500 0.832 0.336
Nd 0.500 0.500 0.000
Sm 0.000 0.000 0.000

! Nd2Sm3Pb | Alexandria | PBE | optimized geometry; values from VASP
! Formation enthalpy at 0 K: -186 meV per atom
! Calculated volume: 193.5 Å³ per cell
! Energy: -4.75 eV/atom
&SYSTEM
  ibrav = 0, nat = 6, ntyp = 3
/
ATOMIC_SPECIES
Sm 150.36 Sm.upf
Nd 144.24 Nd.upf
Pb 207.20 Pb.upf
CELL_PARAMETERS angstrom
-4.580 0.583 1.894
-0.501 -4.927 0.305
3.252 2.605 7.062
ATOMIC_POSITIONS crystal
Sm 0.500 0.500 0.000
Sm 0.500 0.836 0.672
Sm 0.500 0.164 0.328
Nd 0.000 0.338 0.675
Nd 0.000 0.662 0.325
Pb 0.000 0.000 0.000

! NdSmPb | Alexandria | PBE | optimized geometry; values from VASP
! Formation enthalpy at 0 K: -260 meV per atom
! Calculated volume: 199.4 Å³ per cell
! Energy: -4.66 eV/atom
! Energy above the lowest structure with this stoichiometry: 186.0 meV per atom
&SYSTEM
  ibrav = 0, nat = 6, ntyp = 3
/
ATOMIC_SPECIES
Nd 144.24 Nd.upf
Pb 207.20 Pb.upf
Sm 150.36 Sm.upf
CELL_PARAMETERS angstrom
-3.943 -1.969 -1.553
4.746 -2.692 -1.606
-1.698 -2.861 7.937
ATOMIC_POSITIONS crystal
Nd 0.616 0.232 0.915
Nd 0.384 0.768 0.085
Pb 0.890 0.780 0.776
Pb 0.110 0.220 0.224
Sm 0.820 0.640 0.372
Sm 0.180 0.360 0.628

! NdSm2Pb | Alexandria | PBE | optimized geometry; values from VASP
! Formation enthalpy at 0 K: -327 meV per atom
! Calculated volume: 122.1 Å³ per cell
! Energy: -4.81 eV/atom
! Energy above the lowest structure with this stoichiometry: 0.0 meV per atom
&SYSTEM
  ibrav = 0, nat = 4, ntyp = 3
/
ATOMIC_SPECIES
Nd 144.24 Nd.upf
Pb 207.20 Pb.upf
Sm 150.36 Sm.upf
CELL_PARAMETERS angstrom
-2.477 -1.162 4.120
2.640 -4.189 0.406
3.394 2.403 2.719
ATOMIC_POSITIONS crystal
Nd 0.500 0.500 0.500
Pb 0.500 0.000 0.000
Sm 0.000 0.500 0.000
Sm 0.000 0.000 0.500

! Nd2SmPb | Alexandria | PBE | optimized geometry; values from VASP
! Formation enthalpy at 0 K: -148 meV per atom
! Calculated volume: 125.4 Å³ per cell
! Energy: -4.64 eV/atom
! Energy above the lowest structure with this stoichiometry: 185.0 meV per atom
&SYSTEM
  ibrav = 0, nat = 4, ntyp = 3
/
ATOMIC_SPECIES
Nd 144.24 Nd.upf
Pb 207.20 Pb.upf
Sm 150.36 Sm.upf
CELL_PARAMETERS angstrom
5.619 0.000 0.000
2.809 4.866 0.000
2.809 1.622 4.588
ATOMIC_POSITIONS crystal
Nd 0.750 0.750 0.750
Nd 0.250 0.250 0.250
Pb 0.000 0.000 0.000
Sm 0.500 0.500 0.500

! NdSmPb | Alexandria | PBE | optimized geometry; values from VASP
! Formation enthalpy at 0 K: -226 meV per atom
! Calculated volume: 96.6 Å³ per cell
! Energy: -4.62 eV/atom
! Energy above the lowest structure with this stoichiometry: 219.2 meV per atom
&SYSTEM
  ibrav = 0, nat = 3, ntyp = 3
/
ATOMIC_SPECIES
Nd 144.24 Nd.upf
Sm 150.36 Sm.upf
Pb 207.20 Pb.upf
CELL_PARAMETERS angstrom
-1.382 -1.890 3.164
4.791 -2.184 0.788
-1.202 4.667 2.263
ATOMIC_POSITIONS crystal
Nd 0.046 0.000 0.000
Sm 0.600 0.333 0.667
Pb 0.354 0.667 0.333

! NdSm2Pb | Alexandria | PBE | optimized geometry; values from VASP
! Formation enthalpy at 0 K: -153 meV per atom
! Calculated volume: 131.3 Å³ per cell
! Energy: -4.63 eV/atom
! Energy above the lowest structure with this stoichiometry: 173.7 meV per atom
&SYSTEM
  ibrav = 0, nat = 4, ntyp = 3
/
ATOMIC_SPECIES
Nd 144.24 Nd.upf
Sm 150.36 Sm.upf
Pb 207.20 Pb.upf
CELL_PARAMETERS angstrom
3.666 0.000 0.000
1.833 3.175 0.000
1.833 1.058 11.281
ATOMIC_POSITIONS crystal
Nd 0.500 0.500 0.500
Sm 0.255 0.255 0.236
Sm 0.079 0.079 0.763
Pb 0.666 0.666 0.001

! Nd6Sm8Pb | Alexandria | PBE | optimized geometry; values from VASP
! Formation enthalpy at 0 K: 52 meV per atom
! Calculated volume: 516.7 Å³ per cell
! Energy: -4.62 eV/atom
&SYSTEM
  ibrav = 0, nat = 15, ntyp = 3
/
ATOMIC_SPECIES
Sm 150.36 Sm.upf
Nd 144.24 Nd.upf
Pb 207.20 Pb.upf
CELL_PARAMETERS angstrom
6.667 0.000 0.000
0.000 8.192 -4.730
0.000 0.000 9.460
ATOMIC_POSITIONS crystal
Sm 0.867 0.333 0.667
Sm 0.133 0.667 0.333
Sm 0.821 0.229 0.962
Sm 0.179 0.267 0.229
Sm 0.821 0.038 0.267
Sm 0.821 0.733 0.771
Sm 0.179 0.962 0.733
Sm 0.179 0.771 0.038
Nd 0.330 0.555 0.646
Nd 0.670 0.909 0.555
Nd 0.330 0.354 0.909
Nd 0.670 0.646 0.091
Nd 0.330 0.091 0.445
Nd 0.670 0.445 0.354
Pb 0.500 0.000 0.000

! NdSmPb | Alexandria | PBE | optimized geometry; values from VASP
! Formation enthalpy at 0 K: -334 meV per atom
! Calculated volume: 90.8 Å³ per cell
! Energy: -4.73 eV/atom
! Energy above the lowest structure with this stoichiometry: 111.6 meV per atom
&SYSTEM
  ibrav = 0, nat = 3, ntyp = 3
/
ATOMIC_SPECIES
Nd 144.24 Nd.upf
Pb 207.20 Pb.upf
Sm 150.36 Sm.upf
CELL_PARAMETERS angstrom
4.232 0.000 0.000
0.000 4.232 0.000
-2.116 -2.116 5.071
ATOMIC_POSITIONS crystal
Nd 0.941 0.941 0.882
Pb 0.282 0.282 0.564
Sm 0.627 0.627 0.254

! Nd3SmPb2 | Alexandria | PBE | optimized geometry; values from VASP
! Formation enthalpy at 0 K: -196 meV per atom
! Calculated volume: 445.3 Å³ per cell
! Energy: -4.60 eV/atom
! Energy above the lowest structure with this stoichiometry: 247.9 meV per atom
&SYSTEM
  ibrav = 0, nat = 12, ntyp = 3
/
ATOMIC_SPECIES
Nd 144.24 Nd.upf
Pb 207.20 Pb.upf
Sm 150.36 Sm.upf
CELL_PARAMETERS angstrom
7.514 0.000 0.000
0.000 7.897 0.000
-3.757 -3.948 7.505
ATOMIC_POSITIONS crystal
Nd 0.210 0.460 0.420
Nd 0.500 0.750 0.000
Nd 0.790 0.540 0.580
Nd 0.210 0.960 0.420
Nd 0.500 0.250 0.000
Nd 0.790 0.040 0.580
Pb 0.539 0.358 0.716
Pb 0.823 0.142 0.284
Pb 0.461 0.642 0.284
Pb 0.177 0.858 0.716
Sm 0.000 0.000 0.000
Sm 0.000 0.500 0.000

! NdSm5Pb5 | Alexandria | PBE | optimized geometry; values from VASP
! Formation enthalpy at 0 K: -315 meV per atom
! Calculated volume: 386.8 Å³ per cell
! Energy: -4.58 eV/atom
&SYSTEM
  ibrav = 0, nat = 11, ntyp = 3
/
ATOMIC_SPECIES
Nd 144.24 Nd.upf
Sm 150.36 Sm.upf
Pb 207.20 Pb.upf
CELL_PARAMETERS angstrom
-2.561 1.966 5.496
4.038 -6.798 0.618
5.970 6.385 0.498
ATOMIC_POSITIONS crystal
Nd 0.000 0.000 0.000
Sm 0.332 0.664 0.166
Sm 0.335 0.671 0.665
Sm 0.665 0.329 0.335
Sm 0.000 0.000 0.500
Sm 0.668 0.336 0.834
Pb 0.166 0.332 0.337
Pb 0.834 0.668 0.663
Pb 0.166 0.332 0.827
Pb 0.500 0.000 0.000
Pb 0.834 0.668 0.173

! NdSm3Pb2 | Alexandria | PBE | optimized geometry; values from VASP
! Formation enthalpy at 0 K: -190 meV per atom
! Calculated volume: 435.8 Å³ per cell
! Energy: -4.58 eV/atom
! Energy above the lowest structure with this stoichiometry: 245.2 meV per atom
&SYSTEM
  ibrav = 0, nat = 12, ntyp = 3
/
ATOMIC_SPECIES
Pb 207.20 Pb.upf
Sm 150.36 Sm.upf
Nd 144.24 Nd.upf
CELL_PARAMETERS angstrom
7.605 0.000 0.000
0.000 7.699 0.000
-3.803 -3.849 7.443
ATOMIC_POSITIONS crystal
Pb 0.461 0.643 0.285
Pb 0.825 0.143 0.285
Pb 0.175 0.857 0.715
Pb 0.539 0.357 0.715
Sm 0.789 0.039 0.578
Sm 0.211 0.461 0.422
Sm 0.789 0.539 0.578
Sm 0.500 0.750 0.000
Sm 0.211 0.961 0.422
Sm 0.500 0.250 0.000
Nd 0.000 0.500 0.000
Nd 0.000 0.000 0.000